1.
DFT (PBE) results for a relaxed Pr2DyTmSe6 crystal.

The uncorrected formation energy comes out at -178 kJ per mole of atoms.

The space group is R3 (No. 146, hexagonal axes) and the conventional cell measures 7.3643, 7.3643 and 19.4771 Å, with angles of 90.00, 90.00 and 120.00 degrees. The asymmetric unit holds Pr at (0.0000, 0.0000, 0.0000), Pr at (0.0000, 0.0000, 0.4996), Dy at (0.0000, 0.0000, 0.2022), Tm at (0.0000, 0.0000, 0.7016), Se at (0.0459, 0.6944, 0.7737) and Se at (0.0476, 0.3559, 0.2745).

***

2.
DFT (PBE) results for a relaxed Pr2DyTmSe5 crystal.

The uncorrected formation energy comes out at -127 kJ per mole of atoms.

The space group is P4/mmm (No. 123) and the conventional cell measures 5.063, 5.063 and 10.721 Å, with angles of 90.00, 90.00 and 90.00 degrees. The asymmetric unit holds Pr at (0.000, 0.000, 0.202), Dy at (0.500, 0.500, 0.500), Tm at (0.500, 0.500, 0.000), Se at (0.000, 0.000, 0.500), Se at (0.000, 0.500, 0.000) and Se at (0.500, 0.500, 0.254).

***

3.
DFT (PBE) results for a relaxed PrDy2TmSe4 crystal.

The uncorrected formation energy comes out at -168 kJ per mole of atoms.

The space group is P2/m (No. 10) and the conventional cell measures 7.064, 4.045 and 7.262 Å, with angles of 90.00, 108.65 and 90.00 degrees. The asymmetric unit holds Pr at (0.000, 0.000, 0.000), Dy at (0.500, 0.000, 0.500), Dy at (0.500, 0.500, 0.000), Tm at (0.000, 0.500, 0.500), Se at (0.251, 0.000, 0.740) and Se at (0.259, 0.500, 0.264).